(1)
Ac8As3RhSe4: optimized geometry, PBE.

```
data_Ac8As3RhSe4
_chemical_formula_sum 'Ac24 As9 Rh3 Se12'
_space_group_name_H-M_alt 'R -3 m'
_space_group_IT_number 166
_space_group_name_Hall '-R 3 2"'
_cell_length_a 8.9883
_cell_length_b 8.9883
_cell_length_c 22.1234
_cell_angle_alpha 90.00
_cell_angle_beta 90.00
_cell_angle_gamma 120.00
loop_
_atom_site_label
_atom_site_fract_x
_atom_site_fract_y
_atom_site_fract_z
_atom_site_occupancy
Ac1 0.0000 0.0000 0.2473 1
Ac2 0.0080 0.5040 0.2452 1
As1 0.0000 0.5000 0.5000 1
Rh1 0.0000 0.0000 0.5000 1
Se1 0.0000 0.0000 0.0000 1
Se2 0.0000 0.5000 0.0000 1
```

DOS(E_F) = 9.72 states/eV/f.u.
size of the total moment = 0.00 μB/f.u.
final energy = -5.849 eV/atom

***

(2)
Ac3SiAs2Rh9: optimized geometry, PBE.

```
data_Ac3SiAs2Rh9
_chemical_formula_sum 'Ac3 Si1 As2 Rh9'
_space_group_name_H-M_alt 'P -3 m 1'
_space_group_IT_number 164
_space_group_name_Hall '-P 3 2"'
_cell_length_a 6.7232
_cell_length_b 6.7232
_cell_length_c 7.7740
_cell_angle_alpha 90.00
_cell_angle_beta 90.00
_cell_angle_gamma 120.00
loop_
_atom_site_label
_atom_site_fract_x
_atom_site_fract_y
_atom_site_fract_z
_atom_site_occupancy
Ac1 0.0000 0.0000 0.0000 1
Ac2 0.3333 0.6667 0.6662 1
Si1 0.0000 0.0000 0.5000 1
As1 0.3333 0.6667 0.1917 1
Rh1 0.0000 0.5000 0.0000 1
Rh2 0.1457 0.2914 0.3016 1
```

DOS(E_F) = 8.26 states/eV/f.u.
size of the total moment = 0.00 μB/f.u.
final energy = -6.757 eV/atom

***

(3)
Ac2SmAs4Rh3: optimized geometry, PBE.

```
data_Ac2SmAs4Rh3
_chemical_formula_sum 'Ac2 Sm1 As4 Rh3'
_space_group_name_H-M_alt 'P -4 m 2'
_space_group_IT_number 115
_cell_length_a 4.449
_cell_length_b 4.449
_cell_length_c 11.107
_cell_angle_alpha 90.00
_cell_angle_beta 90.00
_cell_angle_gamma 90.00
loop_
_space_group_symop_operation_xyz
'x,y,z'
'y,-x,-z'
'-x,-y,z'
'-y,x,-z'
'-x,y,z'
'-y,-x,-z'
'x,-y,z'
'y,x,-z'
loop_
_atom_site_label
_atom_site_fract_x
_atom_site_fract_y
_atom_site_fract_z
_atom_site_occupancy
Ac1 0.000 0.500 0.222 1
Sm1 0.000 0.000 0.500 1
As1 0.000 0.000 0.000 1
As2 0.000 0.500 0.664 1
As3 0.500 0.500 0.000 1
Rh1 0.000 0.500 0.895 1
Rh2 0.500 0.500 0.500 1
```

DOS(E_F) = 4.84 states/eV/f.u.
size of the total moment = 0.00 μB/f.u.
energy relative to the elements = -980 meV/atom